The following is a PBEsol calculation of a geometry-optimized MnNiOs2 structure, from Alexandria via LeMat-Bulk.

```
MnNiOs2
1.0
-0.944 -0.568 2.370
-0.814 -1.517 -1.966
6.578 -5.283 1.353
Mn Ni Os
1 1 2
direct
0.000 0.000 0.491
0.500 0.500 0.260
0.000 0.000 0.010
0.500 0.500 0.738
```

Results
VASP energy = -9.611 eV/atom
excess energy over the best structure of this formula in the dataset = 126 kJ/mol of formula units
energy of formation = 0.48 eV/atom